Below is a relaxed structure of Sr2AsWF, with properties calculated at the GGA+U level.

a = 6.180 Å, b = 4.216 Å, c = 6.180 Å
α = 90.00°, β = 90.00°, γ = 90.00°
Each line ends with the local moment (μB).
Element x y z (fractional)
Sr (0.000, 0.000, 0.500)  0.01
Sr (0.500, 0.000, 0.000)  0.03
As (0.500, 0.500, 0.500)  0.01
W (0.000, 0.000, 0.000)  3.19
F (0.000, 0.500, 0.000)  0.07

Values from the calculation:
Its volume is 32.20 Å³/atom. Its space group is P4/mmm (123). The total DFT energy (no corrections) is -18.66 eV for the cell shown.